PBE SmAlSiO5, optimized geometry; total magnetic moment = 0.0 μB per formula unit; calculated total energy = -7.9475 eV/atom; space group = C2/c, No. 15; density of states at the Fermi level = 0.00 states/eV/cell; crystal system = monoclinic
1.0
5.458 0.034 0.062
-1.561 5.231 0.062
-1.548 -2.092 6.242
O Sm Al Si
10 2 2 2
direct
0.931 0.069 0.750
0.314 0.894 0.611
0.106 0.686 0.889
0.069 0.931 0.250
0.686 0.106 0.389
0.894 0.314 0.111
0.747 0.614 0.420
0.386 0.253 0.080
0.253 0.386 0.580
0.614 0.747 0.920
0.327 0.673 0.250
0.673 0.327 0.750
0.000 0.000 0.000
0.000 0.000 0.500
0.680 0.320 0.250
0.320 0.680 0.750

PBE Dy2ThPa, optimized geometry; energy of formation = 166 meV per atom; relative energy among the computed polymorphs = 0.0000 eV/atom; total magnetic moment = 0.0 μB per formula unit; space group = P4/mmm, No. 123; density of states at the Fermi level = 7.01 states/eV/cell; crystal system = tetragonal
1.0
-1.667 2.546 -1.528
-0.973 -2.124 -2.478
-8.437 -2.335 5.315
Dy Pa Th
2 1 1
direct
0.000 0.000 0.233
0.000 0.000 0.767
0.500 0.500 0.000
0.500 0.500 0.500